(1)
Below is a relaxed Ta2BePt2 crystal, with properties calculated at the PBE-GGA level.

ΔE_f: -316 meV/atom

Lattice parameters (Å, degrees): 5.8635 5.8635 4.5986 90.00 90.00 90.00
Space group P4/mbm (No. 127)
Asymmetric unit:
Ta 0.1745 0.3255 0.0000
Be 0.0000 0.0000 0.5000
Pt 0.1559 0.6559 0.5000

(2)
Below is a relaxed SiAsCBr2 crystal, with properties calculated at the PBE-GGA level.

energy above the lowest structure with this stoichiometry: 310 meV per atom
formation energy from raw total energies: 1.638 eV/atom

Lattice parameters (Å, degrees): 5.0028 5.0028 5.0765 90.00 90.00 90.00
Space group P4/mmm (No. 123)
Asymmetric unit:
Si 0.0000 0.0000 0.0000
As 0.0000 0.0000 0.5000
C 0.5000 0.5000 0.5000
Br 0.0000 0.5000 0.0000

(3)
Below is a relaxed FeOs2Br crystal, with properties calculated at the PBE-GGA level.

energy above the lowest structure with this stoichiometry: 614 meV per atom
formation energy from raw total energies: 1.288 eV/atom

Lattice parameters (Å, degrees): 5.9103 6.8538 2.9149 90.00 90.00 90.00
Space group Cmmm (No. 65)
Asymmetric unit:
Fe 0.0000 0.0000 0.0000
Os 0.2500 0.2500 0.5000
Br 0.0000 0.5000 0.0000

(4)
Below is a relaxed TiAuS2N crystal, with properties calculated at the PBE-GGA level.

energy above the lowest structure with this stoichiometry: 0 meV per atom
formation energy from raw total energies: 0.203 eV/atom

Lattice parameters (Å, degrees): 4.8470 4.8470 3.7556 90.00 90.00 90.00
Space group P4/mmm (No. 123)
Asymmetric unit:
Ti 0.0000 0.0000 0.0000
Au 0.5000 0.5000 0.5000
S 0.0000 0.5000 0.0000
N 0.0000 0.0000 0.5000

(5)
Below is a relaxed ScGa4Ni2Rh crystal, with properties calculated at the PBE-GGA level.

ΔE_f: -474 meV/atom

Lattice parameters (Å, degrees): 4.0994 4.0994 25.0220 90.00 90.00 120.00
Space group R-3m (No. 166, hexagonal axes)
Asymmetric unit:
Sc 0.0000 0.0000 0.0000
Ga 0.0000 0.0000 0.1269
Ga 0.0000 0.0000 0.3953
Ni 0.0000 0.0000 0.2367
Rh 0.0000 0.0000 0.5000

(6)
Below is a relaxed RbAcRe2O8 crystal, with properties calculated at the PBE-GGA level.

formation energy from raw total energies: -1.992 eV/atom

Lattice parameters (Å, degrees): 6.2405 6.2405 8.2342 90.00 90.00 120.00
Space group P-3 (No. 147)
Asymmetric unit:
Rb 0.0000 0.0000 0.0000
Ac 0.0000 0.0000 0.5000
Re 0.3333 0.6667 0.7708
O 0.1745 0.3521 0.6937
O 0.3333 0.6667 0.9850

Fermi-level density of states
In order: 3.38; 5.56; 4.47; 5.61; 5.74; 8.32
Unit: states/eV/f.u.
Calculated volume
In order: 158; 127; 118; 88; 364; 278
Unit: Å³/cell